An optimized crystal structure of Tl2HgF11. Source: Alexandria, functional GGA-PBE.

Cell lengths 8.697, 8.746, 8.746 Å; angles 74.32, 60.19, 60.19 degrees
Fractional coordinates of all 28 atoms:
Tl1 0.716 0.724 0.276
Tl2 0.284 0.276 0.724
Tl3 0.784 0.224 0.776
Tl4 0.216 0.776 0.224
Hg1 0.750 0.750 0.750
Hg2 0.250 0.250 0.250
F1 0.668 0.730 0.535
F2 0.332 0.270 0.465
F3 0.067 0.535 0.730
F4 0.832 0.965 0.770
F5 0.933 0.465 0.270
F6 0.168 0.035 0.230
F7 0.433 0.770 0.965
F8 0.567 0.230 0.035
F9 0.500 0.500 0.500
F10 0.000 0.000 0.000
F11 0.951 0.843 0.157
F12 0.049 0.157 0.843
F13 0.549 0.343 0.657
F14 0.451 0.657 0.343
F15 0.485 0.977 0.293
F16 0.515 0.023 0.707
F17 0.245 0.293 0.977
F18 0.015 0.207 0.523
F19 0.755 0.707 0.023
F20 0.985 0.793 0.477
F21 0.255 0.523 0.207
F22 0.745 0.477 0.793

## Properties
**Size of the total moment**: 0.000 μB/cell
**Formation energy from raw total energies**: -1645.1 kJ/mol of formula units

An optimized crystal structure of Ba2ZnCuH. Source: Alexandria, functional GGA-PBE.

Cell lengths 5.742, 5.742, 3.935 Å; angles 90.00, 90.00, 90.00 degrees
Fractional coordinates of all 5 atoms:
H1 0.000 0.000 0.000
Zn1 0.500 0.500 0.500
Ba1 0.000 0.500 0.000
Ba2 0.500 0.000 0.000
Cu1 0.000 0.000 0.500

## Properties
**VASP energy**: -2.620 eV/atom
**Size of the total moment**: 0.000 μB/cell

An optimized crystal structure of La3InRu. Source: Alexandria, functional GGA-PBE.

Cell lengths 3.951, 9.090, 9.090 Å; angles 128.63, 90.00, 90.00 degrees
Fractional coordinates of all 5 atoms:
Ru1 0.000 0.405 0.595
In1 0.500 0.096 0.904
La1 0.500 0.196 0.321
La2 0.500 0.679 0.804
La3 0.000 0.252 0.748

## Properties
**Size of the total moment**: 0.000 μB/cell
**DFT formation energy**: 0.26 eV per atom

An optimized crystal structure of TaZnTe. Source: Alexandria, functional GGA-PBE.

Cell lengths 5.178, 5.178, 3.501 Å; angles 70.24, 70.24, 39.52 degrees
Fractional coordinates of all 3 atoms:
Ta1 0.001 0.001 0.999
Te1 0.338 0.338 0.662
Zn1 0.661 0.661 0.339

## Properties
**Size of the total moment**: 0.000 μB/cell
**Formation energy from raw total energies**: 21.5 kJ/mol of formula units

An optimized crystal structure of KY2Zn. Source: Alexandria, functional GGA-PBE.

Cell lengths 5.616, 5.616, 5.616 Å; angles 60.00, 60.00, 60.00 degrees
Fractional coordinates of all 4 atoms:
K1 0.500 0.500 0.500
Y1 0.000 0.000 0.000
Y2 0.250 0.250 0.250
Zn1 0.750 0.750 0.750

## Properties
**Size of the total moment**: 0.001 μB/cell
**DFT formation energy**: 0.53 eV per atom

An optimized crystal structure of Pm3Pr2Sm6. Source: Alexandria, functional GGA-PBE.

Cell lengths 5.959, 6.541, 12.040 Å; angles 80.37, 68.44, 62.90 degrees
Fractional coordinates of all 11 atoms:
Pm1 0.000 0.000 0.000
Pm2 0.321 0.357 0.000
Pm3 0.679 0.643 0.000
Pr1 0.141 0.718 0.500
Pr2 0.859 0.282 0.500
Sm1 0.502 0.684 0.720
Sm2 0.814 0.000 0.768
Sm3 0.186 0.316 0.720
Sm4 0.186 0.000 0.232
Sm5 0.498 0.316 0.280
Sm6 0.814 0.684 0.280

## Properties
**Size of the total moment**: 0.000 μB/cell
**DFT formation energy**: 0.15 eV per atom